No. 1
This record from the Alexandria database describes a geometry-optimized TaSn2B structure. The functional is PBE.

The value obtained for the volume is 73.9 Å³/f.u. The formation energy comes out at 0.8300 eV per atom. As for the density of states at the Fermi level: 11.273 states/eV/cell.

```
data_TaSn2B
_cell_length_a 7.083
_cell_length_b 7.083
_cell_length_c 5.891
_cell_angle_alpha 90.00
_cell_angle_beta 90.00
_cell_angle_gamma 90.00
_symmetry_space_group_name_H-M 'I -4 2 d'
_symmetry_Int_Tables_number 122
_symmetry_space_group_name_Hall 'I -4 2bw'
loop_
_atom_site_label
_atom_site_fract_x
_atom_site_fract_y
_atom_site_fract_z
Ta1 0.000 0.000 0.000
Sn1 0.180 0.750 0.625
B1 0.000 0.000 0.500
```



No. 2
This record from the Alexandria database describes a geometry-optimized K2InAgCl6 structure. The functional is PBE.

The uncorrected formation energy is -1314 meV/atom. The value obtained for the volume is 288.4 Å³/f.u.

```
data_K2InAgCl6
_cell_length_a 10.488
_cell_length_b 10.488
_cell_length_c 10.488
_cell_angle_alpha 90.00
_cell_angle_beta 90.00
_cell_angle_gamma 90.00
_symmetry_space_group_name_H-M 'F m -3 m'
_symmetry_Int_Tables_number 225
_symmetry_space_group_name_Hall '-F 4 2 3'
loop_
_atom_site_label
_atom_site_fract_x
_atom_site_fract_y
_atom_site_fract_z
K1 0.250 0.250 0.250
In1 0.000 0.000 0.000
Ag1 0.000 0.000 0.500
Cl1 0.000 0.000 0.243
```



No. 3
This record from the Alexandria database describes a geometry-optimized Cd2BIr2 structure. The functional is PBE.

The value obtained for the volume is 78.8 Å³/f.u. The formation energy comes out at -0.0433 eV per atom. As for the density of states at the Fermi level: 5.653 states/eV/cell.

```
data_Cd2BIr2
_cell_length_a 5.778
_cell_length_b 5.778
_cell_length_c 4.719
_cell_angle_alpha 90.00
_cell_angle_beta 90.00
_cell_angle_gamma 90.00
_symmetry_space_group_name_H-M 'P 4/m b m'
_symmetry_Int_Tables_number 127
_symmetry_space_group_name_Hall '-P 4 2ab'
loop_
_atom_site_label
_atom_site_fract_x
_atom_site_fract_y
_atom_site_fract_z
Cd1 0.168 0.332 0.000
B1 0.000 0.000 0.500
Ir1 0.162 0.662 0.500
```



No. 4
This record from the Alexandria database describes a geometry-optimized Er4HgPtRh2 structure. The functional is PBE.

The value obtained for the volume is 169.7 Å³/f.u. The formation energy comes out at -0.8724 eV per atom. As for the density of states at the Fermi level: 13.266 states/eV/cell.

```
data_Er4HgPtRh2
_cell_length_a 4.9148
_cell_length_b 4.9148
_cell_length_c 24.3426
_cell_angle_alpha 90.00
_cell_angle_beta 90.00
_cell_angle_gamma 120.00
_symmetry_space_group_name_H-M 'R -3 m'
_symmetry_Int_Tables_number 166
_symmetry_space_group_name_Hall '-R 3 2"'
loop_
_atom_site_label
_atom_site_fract_x
_atom_site_fract_y
_atom_site_fract_z
Er1 0.0000 0.0000 0.1197
Er2 0.0000 0.0000 0.3713
Hg1 0.0000 0.0000 0.5000
Pt1 0.0000 0.0000 0.0000
Rh1 0.0000 0.0000 0.2511
```



No. 5
This record from the Alexandria database describes a geometry-optimized KTlV2Cl8 structure. The functional is PBE.

The uncorrected formation energy is -1282 meV/atom. The value obtained for the volume is 385.4 Å³/f.u.

```
data_KTlV2Cl8
_cell_length_a 6.9150
_cell_length_b 6.9150
_cell_length_c 27.9210
_cell_angle_alpha 90.00
_cell_angle_beta 90.00
_cell_angle_gamma 120.00
_symmetry_space_group_name_H-M 'R -3'
_symmetry_Int_Tables_number 148
_symmetry_space_group_name_Hall '-R 3'
loop_
_atom_site_label
_atom_site_fract_x
_atom_site_fract_y
_atom_site_fract_z
K1 0.0000 0.0000 0.0000
Tl1 0.0000 0.0000 0.5000
V1 0.0000 0.0000 0.2420
Cl1 0.0000 0.0000 0.1626
Cl2 0.0006 0.6076 0.9339
```



No. 6
This record from the Alexandria database describes a geometry-optimized Sm2DyYP4 structure. The functional is PBE.

The value obtained for the volume is 189.2 Å³/f.u. The formation energy comes out at -1.5949 eV per atom. As for the density of states at the Fermi level: 0.785 states/eV/cell.

```
data_Sm2DyYP4
_cell_length_a 7.028
_cell_length_b 4.061
_cell_length_c 7.031
_cell_angle_alpha 90.00
_cell_angle_beta 109.47
_cell_angle_gamma 90.00
_symmetry_space_group_name_H-M 'P 1 2/m 1'
_symmetry_Int_Tables_number 10
_symmetry_space_group_name_Hall '-P 2y'
loop_
_atom_site_label
_atom_site_fract_x
_atom_site_fract_y
_atom_site_fract_z
Sm1 0.000 0.000 0.000
Sm2 0.000 0.500 0.500
Dy1 0.500 0.000 0.500
Y1 0.500 0.500 0.000
P1 0.256 0.000 0.752
P2 0.256 0.500 0.252
```



No. 7
This record from the Alexandria database describes a geometry-optimized RbSO4 structure. The functional is PBE.

The uncorrected formation energy is -1061 meV/atom. The value obtained for the volume is 129.1 Å³/f.u.

```
data_RbSO4
_cell_length_a 5.037
_cell_length_b 5.291
_cell_length_c 5.347
_cell_angle_alpha 82.71
_cell_angle_beta 83.93
_cell_angle_gamma 66.18
_symmetry_space_group_name_H-M 'P 1'
_symmetry_Int_Tables_number 1
_symmetry_space_group_name_Hall 'P 1'
loop_
_atom_site_label
_atom_site_fract_x
_atom_site_fract_y
_atom_site_fract_z
Rb1 0.000 0.000 0.000
S1 0.291 0.437 0.539
O1 0.116 0.739 0.519
O2 0.404 0.323 0.793
O3 0.612 0.692 0.202
O4 0.675 0.456 0.341
```



No. 8
This record from the Alexandria database describes a geometry-optimized PrTiPd3 structure. The functional is PBE.

The value obtained for the volume is 101.6 Å³/f.u. The formation energy comes out at -0.5849 eV per atom. As for the density of states at the Fermi level: 5.342 states/eV/cell.

```
data_PrTiPd3
_cell_length_a 6.3413
_cell_length_b 6.3413
_cell_length_c 5.8363
_cell_angle_alpha 90.00
_cell_angle_beta 90.00
_cell_angle_gamma 120.00
_symmetry_space_group_name_H-M 'P 63/m m c'
_symmetry_Int_Tables_number 194
_symmetry_space_group_name_Hall '-P 6c 2c'
loop_
_atom_site_label
_atom_site_fract_x
_atom_site_fract_y
_atom_site_fract_z
Pr1 0.3333 0.6667 0.2500
Ti1 0.0000 0.0000 0.0000
Pd1 0.1902 0.3805 0.7500
```